No. 1
Compound: Ba3HgBr
Source: the Alexandria database
Functional: PBE-GGA
Structure: optimized geometry

Output
Excess energy over the best structure of this formula in the dataset: 0.0 kJ/mol of formula units
Total energy: -10.32 eV per cell
Energy relative to the elements, uncorrected: -0.516 eV per atom

Cell and atoms, written as CIF:
```
data_Ba3HgBr
_cell_length_a 6.270
_cell_length_b 6.270
_cell_length_c 6.270
_cell_angle_alpha 90.00
_cell_angle_beta 90.00
_cell_angle_gamma 90.00
_space_group_name_H-M_alt 'P m -3 m'
_space_group_IT_number 221
_space_group_name_Hall '-P 4 2 3'
loop_
_atom_site_label
_atom_site_fract_x
_atom_site_fract_y
_atom_site_fract_z
Ba1 0.000 0.000 0.500
Hg1 0.500 0.500 0.500
Br1 0.000 0.000 0.000
```

=====

No. 2
Compound: BaHgBr2
Source: the Alexandria database
Functional: PBE-GGA
Structure: optimized geometry

Output
Excess energy over the best structure of this formula in the dataset: 82.0 kJ/mol of formula units
Total energy: -11.01 eV per cell
Energy relative to the elements, uncorrected: -1.361 eV per atom

Cell and atoms, written as CIF:
```
data_BaHgBr2
_cell_length_a 4.679
_cell_length_b 4.679
_cell_length_c 6.627
_cell_angle_alpha 90.00
_cell_angle_beta 90.00
_cell_angle_gamma 90.00
_space_group_name_H-M_alt 'P 4 m m'
_space_group_IT_number 99
_space_group_name_Hall 'P 4 -2'
loop_
_atom_site_label
_atom_site_fract_x
_atom_site_fract_y
_atom_site_fract_z
Ba1 0.000 0.000 0.000
Hg1 0.500 0.500 0.646
Br1 0.000 0.000 0.494
Br2 0.500 0.500 0.152
```

=====

No. 3
Compound: BaHgBr2
Source: the Alexandria database
Functional: PBE-GGA
Structure: optimized geometry

Output
Excess energy over the best structure of this formula in the dataset: 37.4 kJ/mol of formula units
Total energy: -22.95 eV per cell
Energy relative to the elements, uncorrected: -1.477 eV per atom

Cell and atoms, written as CIF:
```
data_BaHgBr2
_cell_length_a 4.302
_cell_length_b 5.025
_cell_length_c 16.023
_cell_angle_alpha 90.00
_cell_angle_beta 90.00
_cell_angle_gamma 90.00
_space_group_name_H-M_alt 'I m m 2'
_space_group_IT_number 44
_space_group_name_Hall 'I 2 -2'
loop_
_atom_site_label
_atom_site_fract_x
_atom_site_fract_y
_atom_site_fract_z
Ba1 0.000 0.000 0.000
Hg1 0.000 0.500 0.275
Br1 0.000 0.000 0.453
Br2 0.000 0.500 0.642
```